An optimized crystal structure of SrAcMgBi, computed with PBE.

Geometry as POSCAR:
```
SrAcMgBi
1.0
0.0000 4.1576 4.1576
4.1576 0.0000 4.1576
4.1576 4.1576 0.0000
Sr Ac Mg Bi
1 1 1 1
direct
0.0000 0.0000 0.0000
0.5000 0.5000 0.5000
0.7500 0.7500 0.7500
0.2500 0.2500 0.2500
```

- formation enthalpy at 0 K (meV/atom) = -360
- space-group type = F-43m, No. 216
- N(E_F) (states/eV per cell) = 5.59